# 1
A geometry-optimized KMn2Ni structure, computed with GGA-PBE.

Unit cell a=4.113 b=4.113 c=4.395 alpha=90.00 beta=90.00 gamma=90.00
Space group P4/mmm (No. 123)
Asymmetric unit:
K  0.000  0.000  0.000 [1 per cell]
Mn  0.000  0.500  0.500 [2 per cell]
Ni  0.500  0.500  0.000 [1 per cell]

Results
Fermi-level density of states = 3.4 states/eV/cell
V = 74 Å³ per cell
Magnetization = 8.53 μB/cell
Energy of formation = 1.126 eV per atom
Density = 4.6 g/cm³
Offset from the most stable computed form = 559 meV per atom

---

# 2
A geometry-optimized Sc4ZnCu2Ru structure, computed with GGA-PBE.

Unit cell a=4.6247 b=4.6247 c=22.6894 alpha=90.00 beta=90.00 gamma=120.00
Space group R-3m (No. 166, hexagonal axes)
Asymmetric unit:
Sc  0.0000  0.0000  0.1206 [6 per cell]
Sc  0.0000  0.0000  0.3713 [6 per cell]
Zn  0.0000  0.0000  0.5000 [3 per cell]
Cu  0.0000  0.0000  0.2482 [6 per cell]
Ru  0.0000  0.0000  0.0000 [3 per cell]

Results
Fermi-level density of states = 18.7 states/eV/cell
V = 420 Å³ per cell
Magnetization = 0.00 μB/cell
Energy of formation = -0.401 eV per atom
Density = 5.6 g/cm³

---

# 3
A geometry-optimized Ba6Na2CuRh structure, computed with GGA-PBE.

Unit cell a=8.934 b=8.934 c=12.633 alpha=90.00 beta=90.00 gamma=90.00
Space group I4mm (No. 107)
Asymmetric unit:
Ba  0.000  0.000  0.000 [2 per cell]
Ba  0.000  0.000  0.487 [2 per cell]
Ba  0.244  0.244  0.244 [8 per cell]
Na  0.000  0.500  0.493 [4 per cell]
Cu  0.000  0.000  0.744 [2 per cell]
Rh  0.000  0.000  0.244 [2 per cell]

Results
Fermi-level density of states = 15.2 states/eV/cell
V = 1008 Å³ per cell
Magnetization = 0.00 μB/cell
Energy of formation = -0.078 eV per atom
Density = 3.4 g/cm³

---

# 4
A geometry-optimized Sn12Hg3As5 structure, computed with GGA-PBE.

Unit cell a=16.963 b=16.963 c=16.963 alpha=90.00 beta=90.00 gamma=90.00
Space group Ia-3d (No. 230)
Asymmetric unit:
Sn  0.024  0.080  0.651 [96 per cell]
Hg  0.000  0.250  0.125 [24 per cell]
As  0.000  0.000  0.000 [16 per cell]
As  0.000  0.250  0.375 [24 per cell]

Results
Fermi-level density of states = 39.3 states/eV/cell
V = 4881 Å³ per cell
Magnetization = 0.00 μB/cell
Energy of formation = 0.129 eV per atom
Density = 6.5 g/cm³

---

# 5
A geometry-optimized Ho6HgC3 structure, computed with GGA-PBE.

Unit cell a=11.073 b=3.590 c=11.418 alpha=90.00 beta=108.71 gamma=90.00
Space group P2_1/m (No. 11)
Asymmetric unit:
Ho  0.038  0.250  0.381 [2 per cell]
Ho  0.150  0.750  0.137 [2 per cell]
Ho  0.256  0.250  0.669 [2 per cell]
Ho  0.319  0.750  0.435 [2 per cell]
Ho  0.368  0.750  0.949 [2 per cell]
Ho  0.445  0.250  0.237 [2 per cell]
Hg  0.128  0.250  0.886 [2 per cell]
C  0.151  0.750  0.530 [2 per cell]
C  0.241  0.250  0.287 [2 per cell]
C  0.464  0.250  0.854 [2 per cell]

Results
Fermi-level density of states = 13.9 states/eV/cell
V = 430 Å³ per cell
Magnetization = 0.80 μB/cell
Energy of formation = -0.325 eV per atom
Density = 9.5 g/cm³

---

# 6
A geometry-optimized Tb8Co3Ag2 structure, computed with GGA-PBE.

Unit cell a=7.643 b=3.921 c=12.453 alpha=90.00 beta=104.75 gamma=90.00
Space group P2/m (No. 10)
Asymmetric unit:
Tb  0.076  0.000  0.382 [2 per cell]
Tb  0.167  0.500  0.861 [2 per cell]
Tb  0.346  0.500  0.616 [2 per cell]
Tb  0.421  0.000  0.126 [2 per cell]
Co  0.249  0.000  0.731 [2 per cell]
Co  0.500  0.500  0.000 [1 per cell]
Ag  0.251  0.500  0.263 [2 per cell]

Results
Fermi-level density of states = 9.2 states/eV/cell
V = 361 Å³ per cell
Magnetization = 0.00 μB/cell
Energy of formation = -0.067 eV per atom
Density = 7.7 g/cm³

---

Which formula does entry 4 have? Sn12Hg3As5